{"formula": "CsDyTeSe", "functional": "PBE-GGA", "state": "relaxed", "magnetic_moment_mub_per_cell": 0.0, "sg": "P6_3mc (186)", "mass_density_kg_m3": 5773, "vol_a3_per_atom": 36.10, "e_tot_ev_per_atom": -4.57, "crystal_system": "hexagonal", "lattice": [[4.391, 0.000, 0.000], [-2.195, 3.803, 0.000], [0.000, 0.000, 17.295]], "species": ["Cs", "Cs", "Dy", "Dy", "Te", "Te", "Se", "Se"], "fractional_positions": [[0.333, 0.667, 0.000], [0.667, 0.333, 0.500], [0.000, 0.000, 0.264], [0.000, 0.000, 0.764], [0.333, 0.667, 0.661], [0.667, 0.333, 0.161], [0.333, 0.667, 0.349], [0.667, 0.333, 0.849]]}